Entry from Alexandria: a relaxed LiMn2Cr crystal (GGA-PBEsol).

Cell lengths 2.8151, 2.8151, 5.6839 Å; angles 90.00, 90.00, 90.00 degrees
Closest atoms and distances in Å follow each position.
Space group P4mm (No. 99)
Symmetry-distinct sites (fractional):
Li (0.0000, 0.0000, 0.0000) (multiplicity 1)  4 Mn 2.45, 4 Cr 2.50
Mn (0.0000, 0.0000, 0.5092) (multiplicity 1)  4 Cr 2.36, 4 Mn 2.47
Mn (0.5000, 0.5000, 0.2527) (multiplicity 1)  4 Li 2.45, 4 Mn 2.47, 1 Cr 2.73
Cr (0.5000, 0.5000, 0.7334) (multiplicity 1)  4 Mn 2.36, 4 Li 2.50

Computed properties:
ΔE_f, eV per atom: 0.4388
Calculated volume, Å³/cell: 45.04
Total magnetization, μB/f.u.: 2.9
Raw total energy, eV per cell: -29.98

Entry from Alexandria: a relaxed LiMn2NbCr crystal (GGA-PBEsol).

Cell lengths 4.2445, 4.2445, 4.5731 Å; angles 90.00, 90.00, 90.00 degrees
Closest atoms and distances in Å follow each position.
Space group P4/mmm (No. 123)
Symmetry-distinct sites (fractional):
Li (0.0000, 0.0000, 0.0000) (multiplicity 1)  4 Nb 3.00, 8 Mn 3.12
Mn (0.0000, 0.5000, 0.5000) (multiplicity 2)  2 Cr 2.12
Nb (0.5000, 0.5000, 0.0000) (multiplicity 1)  2 Cr 2.29
Cr (0.5000, 0.5000, 0.5000) (multiplicity 1)  4 Mn 2.12, 2 Nb 2.29

Computed properties:
ΔE_f, eV per atom: 1.0608
Calculated volume, Å³/cell: 82.39
Total magnetization, μB/f.u.: 3.0
Raw total energy, eV per cell: -37.25

- The lowest ΔE_f belongs to which entry?
  LiMn2Cr